No. 1
A plane-wave DFT calculation with PBE was carried out for a geometry-optimized LiLa3Zr structure.

POSCAR file:
```
LiLa3Zr
1.0
-3.322 0.979 -4.696
4.465 -1.458 -3.462
-1.755 -5.564 0.081
Li Zr La
1 1 3
Cartesian
-0.306 -3.022 -4.039 Li
0.000 0.000 0.000 Zr
2.232 -0.729 -1.731 La
-0.877 -2.782 0.040 La
-1.661 0.490 -2.348 La
```

Properties
Calculated volume (Å³/f.u.): 198.7
Formation energy from the elements (eV per atom): 0.463

***

No. 2
A plane-wave DFT calculation with PBE was carried out for a geometry-optimized KSrLaCl2 structure.

POSCAR file:
```
KSrLaCl2
1.0
5.676 0.000 0.000
0.000 8.132 0.000
0.000 0.000 5.676
Sr K Cl La
1 1 2 1
Cartesian
0.000 0.000 0.000 Sr
2.838 4.066 2.838 K
0.000 0.000 2.838 Cl
2.838 0.000 0.000 Cl
0.000 4.066 0.000 La
```

Properties
Calculated volume (Å³/f.u.): 261.9
Formation energy from raw total energies (meV/atom): -690.7

***

No. 3
A plane-wave DFT calculation with PBE was carried out for a geometry-optimized MoRh2I structure.

POSCAR file:
```
MoRh2I
1.0
0.782 -3.953 2.268
-0.500 -0.168 4.594
-3.531 -2.338 1.857
I Mo Rh
1 1 2
Cartesian
-1.625 -3.230 4.360 I
0.000 0.000 0.000 Mo
-0.812 -1.615 2.180 Rh
-2.437 -4.844 6.540 Rh
```

Properties
Calculated volume (Å³/f.u.): 69.9
Formation energy from raw total energies (meV/atom): 781.2